Entry 1:
Entry from the Alexandria database: an optimized crystal structure of La2TiPbO (PBE-GGA).

The electronic total energy comes out at -32.77 eV for the cell shown. For the magnetization, the calculation gives 1.3 μB/cell. The calculation puts the density of states at the Fermi level at 2.89 states/eV/cell. The calculation puts the uncorrected formation energy at -1.27 eV per atom.

The space group is P4/mmm (No. 123) and the conventional cell measures 5.2939, 5.2939 and 4.1697 Å, with angles of 90.00, 90.00 and 90.00 degrees. Symmetry generates all atoms from La at (0.0000, 0.5000, 0.0000), Ti at (0.0000, 0.0000, 0.5000), Pb at (0.5000, 0.5000, 0.5000) and O at (0.0000, 0.0000, 0.0000).

***

Entry 2:
Entry from the Alexandria database: an optimized crystal structure of Nd2Sm8Tl (PBE-GGA).

The electronic total energy comes out at -100.13 eV for the cell shown. The excess energy over the best structure of this formula in the dataset is 0 meV per atom. For the magnetization, the calculation gives 0.0 μB/cell. The calculation puts the density of states at the Fermi level at 28.60 states/eV/cell. The calculated formation energy is -0.4 eV per formula unit.

The space group is C2/m (No. 12) and the conventional cell measures 18.3888, 5.0555 and 8.0719 Å, with angles of 90.00, 105.38 and 90.00 degrees. Symmetry generates all atoms from Nd at (0.2232, 0.0000, 0.1352), Sm at (0.0443, 0.0000, 0.2249), Sm at (0.0890, 0.5000, 0.9420), Sm at (0.1355, 0.0000, 0.6770), Sm at (0.1791, 0.5000, 0.4086) and Tl at (0.0000, 0.5000, 0.5000).